Record 1
DFT (PBE) results for crystalline La2PuGe3Pt4 at its relaxed geometry.

a = 4.387 Å, b = 4.387 Å, c = 11.079 Å
α = 90.00°, β = 90.00°, γ = 90.00°
Each line ends with the local moment (μB).
Atoms (fractional coordinates):
Pt (0.000, 0.500, 0.342)  0.03
Pt (0.500, 0.500, 0.000)  -0.02
Pt (0.000, 0.000, 0.000)  -0.01
Pt (0.500, 0.000, 0.658)  0.03
La (0.000, 0.500, 0.772)  -0.05
La (0.500, 0.000, 0.228)  -0.05
Ge (0.500, 0.000, 0.882)  0.00
Ge (0.000, 0.500, 0.118)  0.00
Ge (0.000, 0.000, 0.500)  0.05
Pu (0.500, 0.500, 0.500)  -5.10

N(E_F)   1.16 states/eV per atom
Total energy   -71.285 eV/cell
Formation energy   -9.08 eV per formula unit
Symmetry   P-4m2 (115)
Volume   21.32 Å³ per atom

---

Record 2
DFT (PBE) results for crystalline La2PuGe4Pt3 at its relaxed geometry.

a = 4.368 Å, b = 4.368 Å, c = 11.348 Å
α = 90.00°, β = 90.00°, γ = 90.00°
Each line ends with the local moment (μB).
Atoms (fractional coordinates):
Pt (0.000, 0.500, 0.115)  -0.01
Pt (0.500, 0.000, 0.885)  -0.01
Pt (0.000, 0.000, 0.500)  0.07
La (0.500, 0.000, 0.231)  -0.02
La (0.000, 0.500, 0.769)  -0.02
Ge (0.500, 0.000, 0.666)  0.02
Ge (0.500, 0.500, 0.000)  0.00
Ge (0.000, 0.500, 0.334)  0.02
Ge (0.000, 0.000, 0.000)  0.00
Pu (0.500, 0.500, 0.500)  -5.10

N(E_F)   1.50 states/eV per atom
Total energy   -69.052 eV/cell
Formation energy   -8.27 eV per formula unit
Symmetry   P-4m2 (115)
Volume   21.65 Å³ per atom

---

Record 3
DFT (PBE) results for crystalline La2GePt6Rh at its relaxed geometry.

a = 5.406 Å, b = 8.747 Å, c = 6.582 Å
α = 51.72°, β = 65.74°, γ = 90.00°
Atoms (fractional coordinates):
Pt (0.251, 0.401, 0.499)
Pt (0.755, 0.746, 0.993)
Pt (0.245, 0.254, 0.007)
Pt (0.749, 0.599, 0.501)
Pt (0.748, 0.255, 0.007)
Pt (0.252, 0.745, 0.993)
La (0.733, 0.194, 0.534)
La (0.267, 0.806, 0.466)
Rh (0.000, 0.000, 0.000)
Ge (0.500, 0.500, 0.000)

N(E_F)   0.49 states/eV per atom
Total energy   -65.597 eV/cell
Formation energy   -7.53 eV per formula unit
Symmetry   C2/m (12)
Volume   20.82 Å³ per atom

---

Record 4
DFT (PBE) results for crystalline LaGe2PtRh2 at its relaxed geometry.

a = 4.701 Å, b = 4.701 Å, c = 5.638 Å
α = 90.00°, β = 90.00°, γ = 90.00°
Atoms (fractional coordinates):
Ge (0.000, 0.500, 0.000)
Ge (0.500, 0.000, 0.000)
Rh (0.500, 0.500, 0.253)
Rh (0.500, 0.500, 0.747)
La (0.000, 0.000, 0.500)
Pt (0.000, 0.000, 0.000)

N(E_F)   0.65 states/eV per atom
Total energy   -36.587 eV/cell
Formation energy   -1.68 eV per formula unit
Symmetry   P4/mmm (123)
Volume   20.76 Å³ per atom

---

Record 5
DFT (PBE) results for crystalline La2Ge3Pt12Rh at its relaxed geometry.

a = 7.925 Å, b = 7.925 Å, c = 7.925 Å
α = 62.82°, β = 62.82°, γ = 62.82°
Atoms (fractional coordinates):
Pt (0.622, 0.130, 0.130)
Pt (0.130, 0.130, 0.622)
Pt (0.636, 0.636, 0.111)
Pt (0.364, 0.889, 0.364)
Pt (0.130, 0.622, 0.130)
Pt (0.889, 0.364, 0.364)
Pt (0.870, 0.870, 0.378)
Pt (0.636, 0.111, 0.636)
Pt (0.111, 0.636, 0.636)
Pt (0.870, 0.378, 0.870)
Pt (0.364, 0.364, 0.889)
Pt (0.378, 0.870, 0.870)
Rh (0.000, 0.000, 0.000)
Ge (0.500, 0.000, 0.000)
Ge (0.000, 0.500, 0.000)
Ge (0.000, 0.000, 0.500)
La (0.620, 0.620, 0.620)
La (0.380, 0.380, 0.380)

N(E_F)   0.54 states/eV per atom
Total energy   -108.381 eV/cell
Formation energy   -4.83 eV per formula unit
Symmetry   R-3m (166)
Volume   20.78 Å³ per atom

---

Record 6
DFT (PBE) results for crystalline La2Ge4RuPt3 at its relaxed geometry.

a = 4.329 Å, b = 4.329 Å, c = 10.389 Å
α = 90.00°, β = 90.00°, γ = 90.00°
Atoms (fractional coordinates):
La (0.500, 0.000, 0.245)
La (0.000, 0.500, 0.755)
Pt (0.000, 0.000, 0.500)
Pt (0.000, 0.500, 0.131)
Pt (0.500, 0.000, 0.869)
Ge (0.500, 0.000, 0.627)
Ge (0.000, 0.000, 0.000)
Ge (0.000, 0.500, 0.373)
Ge (0.500, 0.500, 0.000)
Ru (0.500, 0.500, 0.500)

N(E_F)   0.40 states/eV per atom
Total energy   -64.965 eV/cell
Formation energy   -9.24 eV per formula unit
Symmetry   P-4m2 (115)
Volume   19.47 Å³ per atom

---

Record 7
DFT (PBE) results for crystalline LaGe2Sb2Pt7 at its relaxed geometry.

a = 4.001 Å, b = 4.001 Å, c = 15.919 Å
α = 82.79°, β = 82.79°, γ = 89.99°
Atoms (fractional coordinates):
Sb (0.788, 0.788, 0.425)
Sb (0.212, 0.212, 0.575)
La (0.000, 0.000, 0.000)
Pt (0.701, 0.701, 0.598)
Pt (0.299, 0.299, 0.402)
Pt (0.926, 0.425, 0.149)
Pt (0.074, 0.575, 0.851)
Pt (0.575, 0.074, 0.851)
Pt (0.425, 0.926, 0.149)
Pt (0.500, 0.500, 0.000)
Ge (0.622, 0.622, 0.755)
Ge (0.378, 0.378, 0.245)

E_form (uncorrected)   -0.548 eV per atom
N(E_F)   0.40 states/eV per atom
Total energy   -71.264 eV/cell
Symmetry   I4/mmm (139)
Volume   20.90 Å³ per atom

---

Record 8
DFT (PBE) results for crystalline LaScGe2Pt2 at its relaxed geometry.

a = 4.408 Å, b = 4.408 Å, c = 7.170 Å
α = 90.00°, β = 90.00°, γ = 120.00°
Atoms (fractional coordinates):
Sc (0.000, 0.000, 0.500)
La (0.000, 0.000, 0.000)
Ge (0.333, 0.667, 0.289)
Ge (0.667, 0.333, 0.711)
Pt (0.667, 0.333, 0.309)
Pt (0.333, 0.667, 0.691)

N(E_F)   0.54 states/eV per atom
Total energy   -39.264 eV/cell
Formation energy   -6.69 eV per formula unit
Symmetry   P-3m1 (164)
Volume   20.11 Å³ per atom